# 1
CeEuIr: optimized geometry, PBE-GGA.

* size of the total moment: 7.80 Bohr magnetons per cell
* energy: -8.759 eV per atom
* E_form: -9.28 kcal/mol of atoms
* symmetry: I4mm

abc: 6.949 6.949 6.949
angles: 150.22 150.22 42.62
Fractional coordinates of all 3 atoms:
Ce1 0.000 0.000 0.000
Eu1 0.743 0.743 0.000
Ir1 0.395 0.395 0.000

=====

# 2
LaTbNb2O8: optimized geometry, PBE-GGA.

* size of the total moment: 0.00 Bohr magnetons per cell
* energy: -8.873 eV per atom
* symmetry: I-4
* formation energy (no corrections): -3.093 eV per atom

abc: 6.866 6.866 6.866
angles: 134.06 134.06 66.99
Fractional coordinates of all 12 atoms:
La1 0.000 0.000 0.000
Tb1 0.250 0.750 0.500
Nb1 0.500 0.500 0.000
Nb2 0.750 0.250 0.500
O1 0.010 0.087 0.427
O2 0.250 0.661 0.091
O3 0.339 0.430 0.589
O4 0.417 0.990 0.077
O5 0.570 0.159 0.909
O6 0.660 0.583 0.573
O7 0.841 0.750 0.411
O8 0.913 0.340 0.923

=====

# 3
TaTiHI2: optimized geometry, PBE-GGA.

* size of the total moment: 0.82 Bohr magnetons per cell
* energy: -4.626 eV per atom
* symmetry: P4/mmm

abc: 4.972 4.972 3.508
angles: 90.00 90.00 90.00
Fractional coordinates of all 5 atoms:
Ta1 0.000 0.000 0.000
Ti1 0.500 0.500 0.000
H1 0.500 0.500 0.500
I1 0.000 0.500 0.500
I2 0.500 0.000 0.500

=====

# 4
Ba2AlBiTe5: optimized geometry, PBE-GGA.

* size of the total moment: 0.00 Bohr magnetons per cell
* energy: -4.024 eV per atom
* symmetry: Cmc2_1
* formation energy (no corrections): -1.004 eV per atom

abc: 10.706 10.706 14.145
angles: 90.00 90.00 155.44
Fractional coordinates of all 18 atoms:
Ba1 0.113 0.887 0.500
Ba2 0.124 0.876 0.131
Ba3 0.876 0.124 0.631
Ba4 0.887 0.113 0.000
Al1 0.434 0.566 0.252
Al2 0.566 0.434 0.752
Bi1 0.212 0.788 0.843
Bi2 0.788 0.212 0.343
Te1 0.049 0.951 0.858
Te2 0.282 0.718 0.493
Te3 0.315 0.685 0.186
Te4 0.354 0.646 0.817
Te5 0.500 0.500 0.094
Te6 0.500 0.500 0.594
Te7 0.646 0.354 0.317
Te8 0.685 0.315 0.686
Te9 0.718 0.282 0.993
Te10 0.951 0.049 0.358

=====

# 5
EuAgO2: optimized geometry, PBE-GGA.

* size of the total moment: 12.00 Bohr magnetons per cell
* energy: -7.529 eV per atom
* symmetry: P6_3/mmc
* formation energy (no corrections): -1.769 eV per atom

abc: 3.671 3.671 12.449
angles: 90.00 90.00 120.00
Fractional coordinates of all 8 atoms:
Eu1 0.000 0.000 0.000
Eu2 0.000 0.000 0.500
Ag1 0.333 0.667 0.250
Ag2 0.667 0.333 0.750
O1 0.333 0.667 0.085
O2 0.333 0.667 0.415
O3 0.667 0.333 0.585
O4 0.667 0.333 0.915

=====

# 6
InAg3Cl4: optimized geometry, PBE-GGA.

* size of the total moment: 0.00 Bohr magnetons per cell
* energy: -2.855 eV per atom
* symmetry: I-42m
* formation energy (no corrections): -0.520 eV per atom

abc: 7.483 7.483 7.483
angles: 129.26 129.26 74.59
Fractional coordinates of all 8 atoms:
In1 0.000 0.000 0.000
Ag1 0.250 0.750 0.500
Ag2 0.500 0.500 0.000
Ag3 0.750 0.250 0.500
Cl1 0.138 0.138 0.558
Cl2 0.420 0.862 0.000
Cl3 0.580 0.580 0.442
Cl4 0.862 0.420 0.000

=====

# 7
Be2ZnCl: optimized geometry, PBE-GGA.

* size of the total moment: 0.00 Bohr magnetons per cell
* energy: -2.251 eV per atom
* symmetry: P2/m
* formation energy (no corrections): 0.393 eV per atom

abc: 3.018 3.995 5.408
angles: 90.00 104.45 90.00
Fractional coordinates of all 4 atoms:
Be1 0.180 0.000 0.356
Be2 0.820 0.000 0.644
Zn1 0.500 0.500 0.500
Cl1 0.000 0.500 0.000

=====

# 8
YBeCoRh2: optimized geometry, PBE-GGA.

* size of the total moment: 1.77 Bohr magnetons per cell
* energy: -5.671 eV per atom
* E_form: 16.81 kcal/mol of atoms
* symmetry: P4/mmm

abc: 4.517 4.517 4.790
angles: 90.00 90.00 90.00
Fractional coordinates of all 5 atoms:
Y1 0.000 0.000 0.000
Be1 0.500 0.500 0.000
Co1 0.000 0.000 0.500
Rh1 0.000 0.500 0.500
Rh2 0.500 0.000 0.500

=====

# 9
CsYTc3: optimized geometry, PBE-GGA.

* size of the total moment: 0.00 Bohr magnetons per cell
* energy: -5.221 eV per atom
* E_form: 56.79 kcal/mol of atoms
* symmetry: Pm-3m

abc: 4.892 4.892 4.892
angles: 90.00 90.00 90.00
Fractional coordinates of all 5 atoms:
Cs1 0.000 0.000 0.000
Y1 0.500 0.500 0.500
Tc1 0.000 0.000 0.500
Tc2 0.000 0.500 0.000
Tc3 0.500 0.000 0.000

=====

# 10
Mg3Hg: optimized geometry, PBE-GGA.

* size of the total moment: 0.00 Bohr magnetons per cell
* energy: -1.391 eV per atom
* E_form: -2.77 kcal/mol of atoms
* symmetry: Pm-3n

abc: 5.572 5.572 5.572
angles: 90.00 90.00 90.00
Fractional coordinates of all 8 atoms:
Mg1 0.000 0.250 0.500
Mg2 0.000 0.750 0.500
Mg3 0.250 0.500 0.000
Mg4 0.500 0.000 0.250
Mg5 0.500 0.000 0.750
Mg6 0.750 0.500 0.000
Hg1 0.000 0.000 0.000
Hg2 0.500 0.500 0.500

=====

# 11
ZrTi2Au: optimized geometry, PBE-GGA.

* size of the total moment: 0.00 Bohr magnetons per cell
* energy: -7.109 eV per atom
* E_form: -4.73 kcal/mol of atoms
* symmetry: P4/mmm

abc: 3.115 3.115 7.710
angles: 90.00 90.00 90.00
Fractional coordinates of all 4 atoms:
Zr1 0.000 0.000 0.000
Ti1 0.500 0.500 0.264
Ti2 0.500 0.500 0.736
Au1 0.000 0.000 0.500

=====

# 12
Tl7Hg12As: optimized geometry, PBE-GGA.

* size of the total moment: 0.00 Bohr magnetons per cell
* energy: -1.218 eV per atom
* E_form: 0.54 kcal/mol of atoms
* symmetry: R-3

abc: 8.791 8.791 8.791
angles: 103.49 103.49 103.49
Fractional coordinates of all 20 atoms:
Tl1 0.000 0.000 0.000
Tl2 0.171 0.436 0.541
Tl3 0.436 0.541 0.171
Tl4 0.459 0.829 0.564
Tl5 0.541 0.171 0.436
Tl6 0.564 0.459 0.829
Tl7 0.829 0.564 0.459
Hg1 0.039 0.434 0.157
Hg2 0.149 0.278 0.825
Hg3 0.157 0.039 0.434
Hg4 0.175 0.851 0.722
Hg5 0.278 0.825 0.149
Hg6 0.434 0.157 0.039
Hg7 0.566 0.843 0.961
Hg8 0.722 0.175 0.851
Hg9 0.825 0.149 0.278
Hg10 0.843 0.961 0.566
Hg11 0.851 0.722 0.175
Hg12 0.961 0.566 0.843
As1 0.500 0.500 0.500

=====

# 13
Sm2ThHgN: optimized geometry, PBE-GGA.

* size of the total moment: 0.00 Bohr magnetons per cell
* energy: -5.888 eV per atom
* symmetry: P4/mmm
* formation energy (no corrections): -0.791 eV per atom

abc: 4.979 4.979 4.906
angles: 90.00 90.00 90.00
Fractional coordinates of all 5 atoms:
Sm1 0.000 0.500 0.000
Sm2 0.500 0.000 0.000
Th1 0.000 0.000 0.500
Hg1 0.500 0.500 0.500
N1 0.000 0.000 0.000

=====

# 14
Na4Ti3CuTe8: optimized geometry, PBE-GGA.

* size of the total moment: 1.21 Bohr magnetons per cell
* energy: -4.305 eV per atom
* symmetry: R-3m
* formation energy (no corrections): -0.668 eV per atom

abc: 8.894 8.894 8.894
angles: 54.27 54.27 54.27
Fractional coordinates of all 16 atoms:
Na1 0.000 0.000 0.000
Na2 0.000 0.500 0.500
Na3 0.500 0.000 0.500
Na4 0.500 0.500 0.000
Ti1 0.000 0.000 0.500
Ti2 0.000 0.500 0.000
Ti3 0.500 0.000 0.000
Cu1 0.500 0.500 0.500
Te1 0.236 0.735 0.735
Te2 0.238 0.238 0.238
Te3 0.265 0.265 0.764
Te4 0.265 0.764 0.265
Te5 0.735 0.236 0.735
Te6 0.735 0.735 0.236
Te7 0.762 0.762 0.762
Te8 0.764 0.265 0.265

=====

# 15
KPdCl2F: optimized geometry, PBE-GGA.

* size of the total moment: 0.00 Bohr magnetons per cell
* energy: -3.682 eV per atom
* symmetry: P4/mmm
* formation energy (no corrections): -1.311 eV per atom

abc: 4.990 4.990 4.296
angles: 90.00 90.00 90.00
Fractional coordinates of all 5 atoms:
K1 0.000 0.000 0.000
Pd1 0.500 0.500 0.500
Cl1 0.000 0.500 0.500
Cl2 0.500 0.000 0.500
F1 0.500 0.500 0.000

=====

# 16
ZrGa6Pd12: optimized geometry, PBE-GGA.

* size of the total moment: 0.00 Bohr magnetons per cell
* energy: -5.104 eV per atom
* E_form: -9.65 kcal/mol of atoms
* symmetry: R-3

abc: 7.112 7.112 7.112
angles: 100.40 100.40 100.40
Fractional coordinates of all 19 atoms:
Zr1 0.000 0.000 0.000
Ga1 0.161 0.273 0.516
Ga2 0.273 0.516 0.161
Ga3 0.484 0.839 0.727
Ga4 0.516 0.161 0.273
Ga5 0.727 0.484 0.839
Ga6 0.839 0.727 0.484
Pd1 0.021 0.325 0.864
Pd2 0.136 0.979 0.675
Pd3 0.177 0.617 0.488
Pd4 0.325 0.864 0.021
Pd5 0.383 0.512 0.823
Pd6 0.488 0.177 0.617
Pd7 0.512 0.823 0.383
Pd8 0.617 0.488 0.177
Pd9 0.675 0.136 0.979
Pd10 0.823 0.383 0.512
Pd11 0.864 0.021 0.325
Pd12 0.979 0.675 0.136

=====

# 17
LiTb6Cd2: optimized geometry, PBE-GGA.

* size of the total moment: 0.00 Bohr magnetons per cell
* energy: -3.267 eV per atom
* E_form: 5.43 kcal/mol of atoms
* symmetry: C2/m

abc: 8.889 8.889 5.106
angles: 106.57 106.57 48.73
Fractional coordinates of all 9 atoms:
Li1 0.000 0.000 0.000
Tb1 0.085 0.585 0.835
Tb2 0.252 0.748 0.500
Tb3 0.415 0.915 0.165
Tb4 0.585 0.085 0.835
Tb5 0.748 0.252 0.500
Tb6 0.915 0.415 0.165
Cd1 0.333 0.333 0.333
Cd2 0.667 0.667 0.667

=====

# 18
Nd5As2Se2: optimized geometry, PBE-GGA.

* size of the total moment: 0.00 Bohr magnetons per cell
* energy: -5.854 eV per atom
* symmetry: Cmce
* formation energy (no corrections): -1.398 eV per atom

abc: 8.522 8.522 7.957
angles: 90.00 90.00 55.36
Fractional coordinates of all 18 atoms:
Nd1 0.000 0.000 0.000
Nd2 0.024 0.706 0.656
Nd3 0.206 0.524 0.156
Nd4 0.294 0.976 0.656
Nd5 0.476 0.794 0.156
Nd6 0.500 0.500 0.500
Nd7 0.524 0.206 0.844
Nd8 0.706 0.024 0.344
Nd9 0.794 0.476 0.844
Nd10 0.976 0.294 0.344
As1 0.145 0.855 0.356
As2 0.355 0.645 0.856
As3 0.645 0.355 0.144
As4 0.855 0.145 0.644
Se1 0.197 0.197 0.000
Se2 0.303 0.303 0.500
Se3 0.697 0.697 0.500
Se4 0.803 0.803 0.000

=====

# 19
SbTe2MoH: optimized geometry, PBE-GGA.

* size of the total moment: 0.31 Bohr magnetons per cell
* energy: -4.086 eV per atom
* symmetry: P4/mmm

abc: 5.264 5.264 5.299
angles: 90.00 90.00 90.00
Fractional coordinates of all 5 atoms:
Sb1 0.000 0.000 0.000
Te1 0.000 0.500 0.500
Te2 0.500 0.000 0.500
Mo1 0.000 0.000 0.500
H1 0.500 0.500 0.000

=====

# 20
KNaF3: optimized geometry, PBE-GGA.

* size of the total moment: 1.00 Bohr magnetons per cell
* energy: -3.720 eV per atom
* symmetry: Pm-3m
* formation energy (no corrections): -2.114 eV per atom

abc: 4.400 4.400 4.400
angles: 90.00 90.00 90.00
Fractional coordinates of all 5 atoms:
K1 0.000 0.000 0.000
Na1 0.500 0.500 0.500
F1 0.000 0.500 0.500
F2 0.500 0.000 0.500
F3 0.500 0.500 0.000

=====

# 21
Mg6Ga2Pd: optimized geometry, PBE-GGA.

* size of the total moment: 0.00 Bohr magnetons per cell
* energy: -2.598 eV per atom
* E_form: -6.59 kcal/mol of atoms
* symmetry: P-62m

abc: 7.692 7.692 3.478
angles: 90.00 90.00 120.00
Fractional coordinates of all 9 atoms:
Mg1 0.000 0.383 0.000
Mg2 0.000 0.735 0.500
Mg3 0.265 0.265 0.500
Mg4 0.383 0.000 0.000
Mg5 0.617 0.617 0.000
Mg6 0.735 0.000 0.500
Ga1 0.333 0.667 0.500
Ga2 0.667 0.333 0.500
Pd1 0.000 0.000 0.000

=====

# 22
CoSiMo: optimized geometry, PBE-GGA.

* size of the total moment: 0.59 Bohr magnetons per cell
* energy: -8.094 eV per atom
* symmetry: P-6m2
* formation energy (no corrections): -0.307 eV per atom

abc: 4.012 4.012 2.758
angles: 90.00 90.00 120.00
Fractional coordinates of all 3 atoms:
Co1 0.000 0.000 0.000
Si1 0.667 0.333 0.000
Mo1 0.333 0.667 0.500

=====

# 23
La3Dy6Ho: optimized geometry, PBE-GGA.

* size of the total moment: 0.00 Bohr magnetons per cell
* energy: -4.546 eV per atom
* E_form: 3.49 kcal/mol of atoms
* symmetry: Cmc2_1

abc: 11.030 11.030 6.374
angles: 90.00 90.00 119.95
Fractional coordinates of all 20 atoms:
La1 0.112 0.888 0.500
La2 0.212 0.440 0.897
La3 0.440 0.212 0.397
La4 0.560 0.788 0.897
La5 0.788 0.560 0.397
La6 0.888 0.112 0.000
Dy1 0.030 0.451 0.300
Dy2 0.122 0.215 0.480
Dy3 0.215 0.122 0.980
Dy4 0.226 0.774 0.074
Dy5 0.451 0.030 0.800
Dy6 0.463 0.537 0.305
Dy7 0.537 0.463 0.805
Dy8 0.549 0.970 0.300
Dy9 0.774 0.226 0.574
Dy10 0.785 0.878 0.480
Dy11 0.878 0.785 0.980
Dy12 0.970 0.549 0.800
Ho1 0.306 0.694 0.553
Ho2 0.694 0.306 0.053